MgCo2Cu | PBE | optimized geometry

Cell and atoms, written as POSCAR:
```
MgCo2Cu
1.0
-2.710 1.176 2.892
2.838 -0.860 2.880
0.952 2.611 -3.060
Cu Co Mg
1 2 1
direct
0.500 0.500 0.000
0.250 0.750 0.500
0.000 0.000 0.000
0.750 0.250 0.500
```

DFT formation energy = 132 meV per atom

InB2AsW | PBE | optimized geometry

Cell and atoms, written as POSCAR:
```
InB2AsW
1.0
4.062 0.000 0.000
0.000 5.824 0.000
0.000 0.000 4.062
In As B W
1 1 2 1
direct
0.000 0.000 0.000
0.500 0.500 0.500
0.000 0.000 0.500
0.500 0.000 0.000
0.000 0.500 0.000
```

DFT formation energy = 2404 meV per atom

CePmDySn | PBE | optimized geometry

Cell and atoms, written as POSCAR:
```
CePmDySn
1.0
5.427 0.000 0.000
2.714 4.700 0.000
2.714 1.567 4.431
Sn Pm Ce Dy
1 1 1 1
direct
0.250 0.250 0.250
0.000 0.000 0.000
0.750 0.750 0.750
0.500 0.500 0.500
```

DFT formation energy = -203 meV per atom

Rb4Ac3AlSe8 | PBE | optimized geometry

Cell and atoms, written as POSCAR:
```
Rb4Ac3AlSe8
1.0
-8.281 2.016 2.531
-1.915 -9.311 1.150
6.949 3.391 4.420
Rb Ac Al Se
4 3 1 8
direct
0.500 0.000 0.500
0.500 0.000 0.000
0.000 0.000 0.500
0.000 0.000 0.000
0.500 0.500 0.500
0.500 0.500 0.000
0.000 0.500 0.500
0.000 0.500 0.000
0.211 0.692 0.981
0.217 0.696 0.433
0.738 0.713 0.475
0.769 0.692 0.981
0.789 0.308 0.019
0.783 0.304 0.567
0.262 0.287 0.525
0.231 0.308 0.019
```

Formation energy from raw total energies = -1.513 eV per atom

LaScSe2Br | PBE | optimized geometry

Cell and atoms, written as POSCAR:
```
LaScSe2Br
1.0
-3.110 -1.761 -3.768
-3.741 -0.872 3.495
-1.772 4.686 -0.727
Se Br Sc La
2 1 1 1
direct
0.500 0.000 0.000
0.000 0.500 0.000
0.000 0.000 0.500
0.000 0.000 0.000
0.500 0.500 0.500
```

Formation energy from raw total energies = -1.403 eV per atom
Distance to the lowest polymorph of the same formula = 0 meV/atom

MgTiTcIr | PBE | optimized geometry

Cell and atoms, written as POSCAR:
```
MgTiTcIr
1.0
-0.797 -3.642 -2.344
-0.746 -3.822 2.056
-4.035 -1.763 -0.025
Ir Mg Tc Ti
1 1 1 1
direct
0.250 0.250 0.250
0.000 0.000 0.000
0.750 0.750 0.750
0.500 0.500 0.500
```

DFT formation energy = -336 meV per atom

TiHgHI2 | PBE | optimized geometry

Cell and atoms, written as POSCAR:
```
TiHgHI2
1.0
5.734 0.000 0.000
0.000 3.686 0.000
0.000 0.000 5.734
I Hg Ti H
2 1 1 1
direct
0.500 0.000 0.000
0.000 0.000 0.500
0.500 0.500 0.500
0.000 0.500 0.000
0.000 0.000 0.000
```

Electronic total energy = -2.781 eV per atom

Na2TbCr2N4 | PBE | optimized geometry

Cell and atoms, written as POSCAR:
```
Na2TbCr2N4
1.0
-3.081 0.025 -1.372
0.890 -6.513 2.029
-1.607 7.699 3.746
Na Tb Cr N
2 1 2 4
direct
0.147 0.295 0.535
0.853 0.705 0.465
0.000 0.000 0.000
0.339 0.678 0.049
0.661 0.322 0.951
0.765 0.531 0.878
0.464 0.928 0.767
0.536 0.072 0.233
0.235 0.469 0.122
```

Formation energy from raw total energies = -0.640 eV per atom

NaGaTe3Pd | PBE | optimized geometry

Cell and atoms, written as POSCAR:
```
NaGaTe3Pd
1.0
4.085 0.000 0.000
0.000 8.431 0.213
0.000 -1.978 10.595
Na Te Ga Pd
2 6 2 2
direct
0.750 0.823 0.805
0.250 0.177 0.195
0.750 0.866 0.139
0.250 0.780 0.506
0.250 0.549 0.853
0.750 0.451 0.147
0.750 0.220 0.494
0.250 0.134 0.861
0.250 0.101 0.614
0.750 0.899 0.386
0.250 0.648 0.113
0.750 0.352 0.887
```

Formation energy from raw total energies = -0.382 eV per atom

KPdSe2 | PBE | optimized geometry

Cell and atoms, written as POSCAR:
```
KPdSe2
1.0
-9.005 -0.075 0.922
-7.989 -3.626 2.228
-7.771 -0.525 4.612
K Pd Se
1 1 2
direct
0.000 0.000 0.000
0.500 0.500 0.500
0.119 0.119 0.119
0.881 0.881 0.881
```

Formation energy from raw total energies = -0.333 eV per atom

LaPAu2 | PBE | optimized geometry

Cell and atoms, written as POSCAR:
```
LaPAu2
1.0
4.129 0.000 0.000
0.000 4.129 0.000
2.065 2.065 10.880
La P Au
2 2 4
direct
0.750 0.250 0.500
0.000 0.000 0.000
0.250 0.750 0.500
0.500 0.500 0.000
0.375 0.391 0.750
0.875 0.859 0.750
0.609 0.125 0.250
0.141 0.625 0.250
```

DFT formation energy = -533 meV per atom

MoIrSe2S | PBE | optimized geometry

Cell and atoms, written as POSCAR:
```
MoIrSe2S
1.0
-0.200 2.292 -4.399
-0.376 -3.901 -2.015
-4.942 0.284 0.373
Se Ir S Mo
2 1 1 1
direct
0.500 0.000 0.000
0.000 0.000 0.500
0.500 0.500 0.500
0.000 0.500 0.000
0.000 0.000 0.000
```

Formation energy from raw total energies = 0.976 eV per atom

Mg3Mn2Al18 | PBE | optimized geometry

Cell and atoms, written as POSCAR:
```
Mg3Mn2Al18
1.0
-8.196 -5.221 -3.093
-3.917 -7.320 5.923
-8.989 1.428 4.599
Mg Al Mn
6 36 4
direct
0.375 0.375 0.375
0.375 0.875 0.375
0.375 0.375 0.875
0.875 0.375 0.375
0.250 0.250 0.250
0.500 0.500 0.500
0.434 0.164 0.701
0.164 0.701 0.701
0.613 0.887 0.613
0.586 0.316 0.049
0.613 0.613 0.887
0.701 0.164 0.434
0.316 0.049 0.586
0.863 0.137 0.137
0.701 0.701 0.434
0.701 0.434 0.701
0.586 0.049 0.049
0.049 0.586 0.316
0.049 0.316 0.049
0.049 0.049 0.586
0.434 0.701 0.164
0.316 0.586 0.049
0.701 0.434 0.164
0.137 0.137 0.863
0.316 0.049 0.049
0.863 0.137 0.863
0.049 0.316 0.586
0.701 0.164 0.701
0.887 0.613 0.887
0.586 0.049 0.316
0.887 0.613 0.613
0.164 0.434 0.701
0.863 0.863 0.137
0.613 0.887 0.887
0.049 0.049 0.316
0.137 0.863 0.137
0.164 0.701 0.434
0.887 0.887 0.613
0.049 0.586 0.049
0.137 0.863 0.863
0.701 0.701 0.164
0.434 0.701 0.701
0.375 0.875 0.875
0.875 0.875 0.375
0.875 0.375 0.875
0.875 0.875 0.875
```

DFT formation energy = -106 meV per atom

Sr2CdRh | PBE | optimized geometry

Cell and atoms, written as POSCAR:
```
Sr2CdRh
1.0
-3.604 0.212 -2.970
-3.741 -2.713 0.666
-5.594 4.545 3.434
Rh Sr Cd
1 2 1
direct
0.135 0.899 0.832
0.889 0.651 0.571
0.717 0.480 0.087
0.470 0.233 0.828
```

DFT formation energy = -249 meV per atom

PbBrCl | PBE | optimized geometry

Cell and atoms, written as POSCAR:
```
PbBrCl
1.0
7.256 0.033 -0.035
6.271 3.650 -0.025
0.984 0.261 3.608
Br Cl Pb
1 1 1
direct
0.038 0.038 0.962
0.290 0.290 0.710
0.672 0.672 0.328
```

Formation energy from raw total energies = -0.879 eV per atom
Distance to the lowest polymorph of the same formula = 145 meV/atom

Pm4Y2Tm5 | PBE | optimized geometry

Cell and atoms, written as POSCAR:
```
Pm4Y2Tm5
1.0
-0.700 -7.015 2.330
2.309 -2.217 5.848
-6.491 -0.775 7.548
Tm Pm Y
5 4 2
direct
0.351 0.636 0.220
0.649 0.364 0.780
0.000 0.500 0.500
0.207 0.364 0.780
0.793 0.636 0.220
0.671 0.777 0.881
0.329 0.223 0.119
0.315 0.874 0.496
0.685 0.126 0.504
0.141 0.843 0.875
0.859 0.157 0.125
```

DFT formation energy = 108 meV per atom
Distance to the lowest polymorph of the same formula = 8 meV/atom

CoCuHgOsRu | PBE | optimized geometry

Cell and atoms, written as POSCAR:
```
CoCuHgOsRu
1.0
-2.705 0.383 0.195
-0.570 -3.996 -0.049
0.991 -0.307 13.504
Os Hg Co Cu Ru
2 2 2 2 2
direct
0.466 0.500 0.562
0.466 0.000 0.062
0.468 0.000 0.273
0.468 0.500 0.773
0.462 0.000 0.467
0.462 0.500 0.967
0.960 0.000 0.892
0.960 0.500 0.392
0.967 0.000 0.637
0.967 0.500 0.137
```

DFT formation energy = 404 meV per atom
Distance to the lowest polymorph of the same formula = 127 meV/atom

LiAgPb2Se | PBE | optimized geometry

Cell and atoms, written as POSCAR:
```
LiAgPb2Se
1.0
5.546 0.000 0.000
0.000 5.225 0.000
0.000 0.000 5.546
Li Ag Pb Se
1 1 2 1
direct
0.500 0.500 0.500
0.000 0.000 0.000
0.500 0.000 0.000
0.000 0.000 0.500
0.000 0.500 0.000
```

Formation energy from raw total energies = 0.215 eV per atom
Distance to the lowest polymorph of the same formula = 91 meV/atom

Dy2HPtRh6 | PBE | optimized geometry

Cell and atoms, written as POSCAR:
```
Dy2HPtRh6
1.0
-4.313 -1.069 -3.386
0.958 -6.938 0.965
-3.982 -5.507 2.198
Rh Dy Pt H
6 2 1 1
direct
0.183 0.705 0.161
0.817 0.295 0.839
0.656 0.706 0.160
0.801 0.826 0.397
0.344 0.294 0.840
0.199 0.174 0.603
0.770 0.192 0.461
0.230 0.808 0.539
0.500 0.500 0.000
0.000 0.000 0.000
```

Electronic total energy = -6.715 eV per atom

CePr2MgAs4 | PBE | optimized geometry

Cell and atoms, written as POSCAR:
```
CePr2MgAs4
1.0
-4.245 0.203 -0.078
-0.370 -6.313 3.668
-0.070 1.289 7.123
As Pr Mg Ce
4 2 1 1
direct
0.000 0.267 0.244
0.500 0.739 0.255
0.000 0.733 0.756
0.500 0.261 0.745
0.500 0.000 0.500
0.000 0.000 0.000
0.500 0.500 0.000
0.000 0.500 0.500
```

DFT formation energy = -1165 meV per atom